[1]
Material: BeCoSe2N
Method: DFT, PBE-GGA
State: optimized geometry

The structure in extended XYZ format:
```
5
Lattice="4.8773 0.0000 0.0000 0.0000 4.8773 0.0000 0.0000 0.0000 3.0152" Properties=species:S:1:pos:R:3 pbc="T T T"
Be 0.0000 0.0000 0.0000
Co 2.4387 2.4387 1.5076
Se 0.0000 2.4387 0.0000
Se 2.4387 0.0000 0.0000
N 0.0000 0.0000 1.5076
```

Summary:
Formation energy (no corrections): 3.21 eV per formula unit
Spin magnetization: 1.66 μB/cell
Energy above the most stable polymorph in this dataset: 44.5 meV/atom

[2]
Material: Sr3MgIr2O9
Method: DFT, PBE-GGA
State: optimized geometry

The structure in extended XYZ format:
```
15
Lattice="5.6449 0.0000 0.0000 -2.8225 4.8887 0.0000 0.0000 0.0000 6.9195" Properties=species:S:1:pos:R:3 pbc="T T T"
Sr 0.0000 0.0000 0.0000
Sr 0.0000 3.2591 4.5358
Sr 2.8225 1.6296 2.3837
Mg 0.0000 0.0000 3.4598
Ir 0.0000 3.2591 1.1592
Ir 2.8225 1.6296 5.7603
O -1.4112 2.4443 0.0000
O 0.0000 1.6682 2.2723
O -1.3778 4.0546 2.2723
O 1.4447 0.8341 4.6473
O 2.8225 0.0000 0.0000
O 1.4112 2.4443 0.0000
O 1.3778 4.0546 2.2723
O 4.2003 0.8341 4.6473
O 2.8225 3.2205 4.6473
```

Summary:
Formation energy (no corrections): -28.50 eV per formula unit
Spin magnetization: 3.62 μB/cell

[3]
Material: Cs2Pd2Br5
Method: DFT, PBE-GGA
State: optimized geometry

The structure in extended XYZ format:
```
9
Lattice="6.8415 -2.6010 0.0000 6.8415 2.6010 0.0000 -0.8979 0.0000 9.0632" Properties=species:S:1:pos:R:3 pbc="T T T"
Cs 0.7495 0.0000 2.5625
Cs 12.0357 0.0000 6.5008
Pd 4.1825 0.0000 1.1194
Pd 8.6026 0.0000 7.9438
Br 2.1617 0.0000 7.9144
Br 4.8864 0.0000 3.5111
Br 6.8415 0.0000 0.0000
Br 7.8988 0.0000 5.5522
Br 10.6235 0.0000 1.1488
```

Summary:
Formation energy (no corrections): -7.94 eV per formula unit
Spin magnetization: 0.31 μB/cell

[4]
Material: Gd2YHg
Method: DFT, PBE-GGA
State: optimized geometry

The structure in extended XYZ format:
```
4
Lattice="4.8047 0.0000 0.0000 0.0000 4.8047 0.0000 0.0000 0.0000 4.9161" Properties=species:S:1:pos:R:3 pbc="T T T"
Gd 0.0000 2.4024 0.0000
Gd 2.4024 0.0000 0.0000
Y 0.0000 0.0000 2.4581
Hg 2.4024 2.4024 2.4581
```

Summary:
Energy relative to the elements: -0.18 eV per atom
Spin magnetization: 15.55 μB/cell
Energy above the most stable polymorph in this dataset: 42.9 meV/atom

[5]
Material: CdAsRu2
Method: DFT, PBE-GGA
State: optimized geometry

The structure in extended XYZ format:
```
4
Lattice="4.4368 0.0000 0.0000 0.0000 4.4368 0.0000 0.0000 0.0000 3.1543" Properties=species:S:1:pos:R:3 pbc="T T T"
Cd 0.0000 0.0000 0.0000
As 2.2184 2.2184 0.0000
Ru 0.0000 2.2184 1.5772
Ru 2.2184 0.0000 1.5772
```

Summary:
Energy relative to the elements: 0.28 eV per atom
Spin magnetization: 0.00 μB/cell
Energy above the most stable polymorph in this dataset: 210.5 meV/atom

[6]
Material: CsNaS2
Method: DFT, PBE-GGA
State: optimized geometry

The structure in extended XYZ format:
```
4
Lattice="2.2887 1.3214 9.9411 -2.2887 1.3214 9.9411 0.0000 -2.6428 9.9411" Properties=species:S:1:pos:R:3 pbc="T T T"
Cs 0.0000 0.0000 0.0000
Na 0.0000 0.0000 14.9117
S 0.0000 0.0000 12.2984
S 0.0000 0.0000 17.5250
```

Summary:
Formation energy (no corrections): -0.47 eV per formula unit
Spin magnetization: 2.00 μB/cell
Energy above the most stable polymorph in this dataset: 569.7 meV/atom

[7]
Material: V7Re2Mo3
Method: DFT, PBE-GGA
State: optimized geometry

The structure in extended XYZ format:
```
12
Lattice="2.1226 -10.1622 0.0000 2.1226 10.1622 0.0000 0.0000 0.0000 4.2974" Properties=species:S:1:pos:R:3 pbc="T T T"
V 0.0000 0.0000 0.0000
V 2.1226 8.6238 2.1487
V 2.1226 4.4188 0.0000
V 2.1226 1.4999 0.0000
V 2.1226 -1.4999 0.0000
V 2.1226 -4.4188 0.0000
V 2.1226 -8.6238 2.1487
Re 2.1226 7.1850 0.0000
Re 2.1226 -7.1850 0.0000
Mo 2.1226 3.1130 2.1487
Mo 2.1226 0.0000 2.1487
Mo 2.1226 -3.1130 2.1487
```

Summary:
Energy relative to the elements: 0.22 eV per atom
Spin magnetization: 0.00 μB/cell

[8]
Material: YFe3H
Method: DFT, PBE-GGA
State: optimized geometry

The structure in extended XYZ format:
```
5
Lattice="3.9555 0.0000 0.0000 0.0000 3.9555 0.0000 0.0000 0.0000 3.9555" Properties=species:S:1:pos:R:3 pbc="T T T"
Y 0.0000 0.0000 0.0000
Fe 0.0000 1.9777 1.9777
Fe 1.9777 0.0000 1.9777
Fe 1.9777 1.9777 0.0000
H 1.9777 1.9777 1.9777
```

Summary:
Spin magnetization: 5.79 μB/cell
Energy above the most stable polymorph in this dataset: 0.0 meV/atom

[9]
Material: Zn2InBi
Method: DFT, PBE-GGA
State: optimized geometry

The structure in extended XYZ format:
```
4
Lattice="2.1973 1.2686 5.8051 -2.1973 1.2686 5.8051 0.0000 -2.5373 5.8051" Properties=species:S:1:pos:R:3 pbc="T T T"
Zn 0.0000 0.0000 4.3070
Zn 0.0000 0.0000 13.1082
In 0.0000 0.0000 8.7076
Bi 0.0000 0.0000 0.0000
```

Summary:
Energy relative to the elements: 0.15 eV per atom
Spin magnetization: 0.00 μB/cell
Energy above the most stable polymorph in this dataset: 4.0 meV/atom

[10]
Material: Fe2AgBr
Method: DFT, PBE-GGA
State: optimized geometry

The structure in extended XYZ format:
```
4
Lattice="3.6403 0.0000 0.0000 0.0000 3.2772 0.0000 -0.0077 0.0000 6.4530" Properties=species:S:1:pos:R:3 pbc="T T T"
Fe 0.0003 0.0000 1.1709
Fe 3.6324 0.0000 5.2821
Ag 1.8202 1.6386 0.0000
Br -0.0038 1.6386 3.2265
```

Summary:
Formation energy (no corrections): 1.72 eV per formula unit
Spin magnetization: 6.20 μB/cell
Energy above the most stable polymorph in this dataset: 89.6 meV/atom

[11]
Material: HoPaGe4
Method: DFT, PBE-GGA
State: optimized geometry

The structure in extended XYZ format:
```
6
Lattice="0.0000 3.9336 3.9336 3.9336 0.0000 3.9336 3.9336 3.9336 0.0000" Properties=species:S:1:pos:R:3 pbc="T T T"
Ho 0.0000 0.0000 0.0000
Pa 5.9004 5.9004 5.9004
Ge 2.9427 2.9427 2.9427
Ge 4.9244 4.9244 2.9427
Ge 4.9244 2.9427 4.9244
Ge 2.9427 4.9244 4.9244
```

Summary:
Energy relative to the elements: -0.17 eV per atom
Spin magnetization: 0.59 μB/cell

[12]
Material: PmIrC
Method: DFT, PBE-GGA
State: optimized geometry

The structure in extended XYZ format:
```
6
Lattice="-2.9310 3.9397 2.4119 2.9310 -3.9397 2.4119 2.9310 3.9397 -2.4119" Properties=species:S:1:pos:R:3 pbc="T T T"
Pm 0.0000 0.0000 0.0000
Pm 0.0000 3.9397 0.0000
Ir 2.9310 1.9699 0.0090
Ir 0.0000 1.9699 2.4029
C -1.4655 1.9699 1.2059
C 1.4655 1.9699 1.2059
```

Summary:
Energy relative to the elements: -0.15 eV per atom
Spin magnetization: 0.00 μB/cell
Energy above the most stable polymorph in this dataset: 293.2 meV/atom

[13]
Material: LaDyP2
Method: DFT, PBE-GGA
State: optimized geometry

The structure in extended XYZ format:
```
4
Lattice="2.0352 1.1750 7.0714 -2.0352 1.1750 7.0714 0.0000 -2.3500 7.0714" Properties=species:S:1:pos:R:3 pbc="T T T"
La 0.0000 0.0000 0.0000
Dy 0.0000 0.0000 3.6287
P 0.0000 0.0000 12.3217
P 0.0000 0.0000 16.0839
```

Summary:
Energy relative to the elements: -1.45 eV per atom
Spin magnetization: 0.00 μB/cell
Energy above the most stable polymorph in this dataset: 134.8 meV/atom

[14]
Material: Tc2MoHIr
Method: DFT, PBE-GGA
State: optimized geometry

The structure in extended XYZ format:
```
5
Lattice="3.9572 0.0000 0.0000 0.0000 3.9572 0.0000 0.0000 0.0000 3.9160" Properties=species:S:1:pos:R:3 pbc="T T T"
Tc 0.0000 1.9786 0.0000
Tc 1.9786 0.0000 0.0000
Mo 0.0000 0.0000 1.9580
H 1.9786 1.9786 0.0000
Ir 1.9786 1.9786 1.9580
```

Summary:
Spin magnetization: 0.00 μB/cell
Energy above the most stable polymorph in this dataset: 19.7 meV/atom

[15]
Material: Ba2SiMo
Method: DFT, PBE-GGA
State: optimized geometry

The structure in extended XYZ format:
```
4
Lattice="3.5830 0.0000 0.0000 0.0000 3.5830 0.0000 0.0000 0.0000 9.6596" Properties=species:S:1:pos:R:3 pbc="T T T"
Ba 0.0000 0.0000 0.0000
Ba 1.7915 1.7915 4.1747
Si 1.7915 1.7915 7.3139
Mo 0.0000 0.0000 6.7108
```

Summary:
Formation energy (no corrections): 0.75 eV per formula unit
Spin magnetization: 0.00 μB/cell

[16]
Material: La5PrDy4
Method: DFT, PBE-GGA
State: optimized geometry

The structure in extended XYZ format:
```
10
Lattice="3.6742 0.0000 0.0000 -1.8108 9.4785 0.0000 -0.0036 -2.9601 9.9007" Properties=species:S:1:pos:R:3 pbc="T T T"
La 0.0000 0.0000 0.0000
La 0.0100 3.4985 0.9967
La 0.0162 5.5006 6.8928
La 1.8436 1.0178 3.0079
La 1.8498 3.0199 8.9040
Pr -0.0018 -1.4800 4.9503
Dy 0.0094 2.0122 5.9364
Dy 0.0207 6.9525 2.0131
Dy 1.8391 -0.4341 7.8876
Dy 1.8504 4.5063 3.9643
```

Summary:
Energy relative to the elements: 0.01 eV per atom
Spin magnetization: 0.00 μB/cell
Energy above the most stable polymorph in this dataset: 0.0 meV/atom

[17]
Material: Ca2TcBr
Method: DFT, PBE-GGA
State: optimized geometry

The structure in extended XYZ format:
```
4
Lattice="-1.8364 3.3140 4.7289 1.8364 -3.3140 4.7289 1.8364 3.3140 -4.7289" Properties=species:S:1:pos:R:3 pbc="T T T"
Ca 0.0000 0.0000 2.2708
Ca 0.0000 0.0000 7.1871
Tc 0.0000 3.3140 0.0000
Br 1.8364 0.0000 0.0000
```

Summary:
Formation energy (no corrections): 0.90 eV per formula unit
Spin magnetization: 2.53 μB/cell
Energy above the most stable polymorph in this dataset: 472.8 meV/atom

[18]
Material: SrZrTlSn2
Method: DFT, PBE-GGA
State: optimized geometry

The structure in extended XYZ format:
```
5
Lattice="5.9491 0.0000 0.0000 0.0000 5.9491 0.0000 0.0000 0.0000 5.4336" Properties=species:S:1:pos:R:3 pbc="T T T"
Sr 0.0000 0.0000 0.0000
Zr 0.0000 0.0000 2.7168
Tl 2.9745 2.9745 2.7168
Sn 0.0000 2.9745 0.0000
Sn 2.9745 0.0000 0.0000
```

Summary:
Energy relative to the elements: 1.13 eV per atom
Spin magnetization: 0.00 μB/cell

[19]
Material: Ce6Ga3Ge
Method: DFT, PBE-GGA
State: optimized geometry

The structure in extended XYZ format:
```
20
Lattice="5.5435 3.2005 4.8512 -5.5435 3.2005 4.8512 0.0000 -6.4010 4.8512" Properties=species:S:1:pos:R:3 pbc="T T T"
Ce 0.0000 -4.1663 3.2953
Ce -3.6081 2.0831 3.2953
Ce 0.0000 -2.2560 5.4396
Ce -1.9537 1.1280 5.4396
Ce -3.6081 -2.0831 11.2584
Ce -1.9537 -1.1280 9.1141
Ce 1.9537 1.1280 5.4396
Ce 3.6081 2.0831 3.2953
Ce 1.9537 -1.1280 9.1141
Ce 0.0000 2.2560 9.1141
Ce 3.6081 -2.0831 11.2584
Ce 0.0000 4.1663 11.2584
Ga -3.1463 -1.8165 6.1829
Ga 0.0000 -3.6331 8.3709
Ga -3.1463 1.8165 8.3709
Ga 3.1463 -1.8165 6.1829
Ga 0.0000 3.6331 6.1829
Ga 3.1463 1.8165 8.3709
Ge 0.0000 0.0000 0.0000
Ge 0.0000 0.0000 7.2769
```

Summary:
Energy relative to the elements: -0.30 eV per atom
Spin magnetization: 3.92 μB/cell

[20]
Material: LuAu4
Method: DFT, PBE-GGA
State: optimized geometry

The structure in extended XYZ format:
```
5
Lattice="-3.3846 3.3846 2.0750 3.3846 -3.3846 2.0750 3.3846 3.3846 -2.0750" Properties=species:S:1:pos:R:3 pbc="T T T"
Lu 0.0000 0.0000 0.0000
Au 2.6976 1.3545 0.0000
Au 2.0301 -0.6871 2.0750
Au 1.3545 4.0717 0.0000
Au 0.6871 2.0301 2.0750
```

Summary:
Energy relative to the elements: -0.60 eV per atom
Spin magnetization: 0.00 μB/cell

[21]
Material: BeVCoGe2
Method: DFT, PBE-GGA
State: optimized geometry

The structure in extended XYZ format:
```
5
Lattice="4.6950 0.0000 0.0000 0.0000 4.6950 0.0000 0.0000 0.0000 4.2101" Properties=species:S:1:pos:R:3 pbc="T T T"
Be 0.0000 0.0000 0.0000
V 2.3475 2.3475 2.1050
Co 2.3475 2.3475 0.0000
Ge 0.0000 2.3475 2.1050
Ge 2.3475 0.0000 2.1050
```

Summary:
Energy relative to the elements: 1.09 eV per atom
Spin magnetization: 0.61 μB/cell

[22]
Material: BaPb2I2
Method: DFT, PBE-GGA
State: optimized geometry

The structure in extended XYZ format:
```
5
Lattice="-2.1940 2.1940 12.8208 2.1940 -2.1940 12.8208 2.1940 2.1940 -12.8208" Properties=species:S:1:pos:R:3 pbc="T T T"
Ba 0.0000 0.0000 0.0000
Pb 2.1940 0.0000 6.4104
Pb 0.0000 2.1940 6.4104
I 0.0000 0.0000 10.8765
I 0.0000 0.0000 14.7651
```

Summary:
Formation energy (no corrections): -3.75 eV per formula unit
Spin magnetization: 0.00 μB/cell

[23]
Material: Rb2YGaSe4
Method: DFT, PBE-GGA
State: optimized geometry

The structure in extended XYZ format:
```
16
Lattice="6.0571 -6.2513 0.0000 6.0571 6.2513 0.0000 -5.8973 0.0000 6.2283" Properties=species:S:1:pos:R:3 pbc="T T T"
Rb 0.0000 0.0000 0.0000
Rb -2.9487 0.0000 3.1142
Rb 3.0286 3.1257 0.0000
Rb 0.0799 -3.1257 3.1142
Y 0.0799 3.1257 3.1142
Y 3.0286 -3.1257 0.0000
Ga 6.0571 0.0000 0.0000
Ga 3.1085 0.0000 3.1142
Se 0.3242 2.8831 6.0110
Se 2.9441 2.8831 3.3315
Se 0.4972 0.1753 3.3204
Se 3.4459 -0.1753 0.2063
Se 2.7711 0.1753 6.0221
Se 5.7197 -0.1753 2.9079
Se 3.2729 -2.8831 2.8968
Se 5.8927 -2.8831 0.2174
```

Summary:
Formation energy (no corrections): -8.85 eV per formula unit
Spin magnetization: 0.00 μB/cell

[24]
Material: Sr2LiAc
Method: DFT, PBE-GGA
State: optimized geometry

The structure in extended XYZ format:
```
4
Lattice="2.0379 1.1766 12.3404 -2.0379 1.1766 12.3404 0.0000 -2.3531 12.3404" Properties=species:S:1:pos:R:3 pbc="T T T"
Sr 0.0000 0.0000 0.0000
Sr 0.0000 0.0000 6.6906
Li 0.0000 0.0000 21.8455
Ac 0.0000 0.0000 15.6991
```

Summary:
Energy relative to the elements: 0.11 eV per atom
Spin magnetization: 0.00 μB/cell
Energy above the most stable polymorph in this dataset: 35.8 meV/atom

[25]
Material: PmTaInO6
Method: DFT, PBE-GGA
State: optimized geometry

The structure in extended XYZ format:
```
18
Lattice="5.4985 0.0000 0.0000 -2.7492 4.7618 0.0000 0.0000 0.0000 9.9785" Properties=species:S:1:pos:R:3 pbc="T T T"
Pm 0.0000 0.0000 0.0000
Pm 0.0000 0.0000 4.9893
Ta 0.0000 3.1745 2.4946
Ta 2.7492 1.5873 7.4839
In 0.0000 3.1745 7.4839
In 2.7492 1.5873 2.4946
O -0.8676 1.7494 1.3776
O -1.6680 3.1357 3.6117
O 0.8676 1.7494 3.6117
O -0.8004 4.6385 1.3776
O 1.9488 0.1233 6.3669
O 1.0812 1.6261 8.6009
O 1.6680 3.1357 1.3776
O 0.8004 4.6385 3.6117
O 3.5496 0.1233 8.6009
O 1.8816 3.0124 6.3669
O 4.4173 1.6261 6.3669
O 3.6169 3.0124 8.6009
```

Summary:
Formation energy (no corrections): -21.42 eV per formula unit
Spin magnetization: 2.11 μB/cell